No. 1
Compound: BaAsAu
Source: OQMD via LeMat-Bulk
Functional: PBE
Structure: optimized geometry

Cell and atoms, written as POSCAR:
```
BaAsAu
1.0
7.924 0.000 0.000
-3.962 6.863 0.000
0.000 0.000 4.607
Ba As Au
3 3 3
direct
0.000 0.615 0.000
0.385 0.385 0.000
0.615 0.000 0.000
0.000 0.294 0.500
0.294 0.000 0.500
0.706 0.706 0.500
0.000 0.000 0.000
0.333 0.667 0.500
0.667 0.333 0.500
```

No. 2
Compound: PaInFe
Source: OQMD via LeMat-Bulk
Functional: PBE
Structure: optimized geometry

Cell and atoms, written as POSCAR:
```
PaInFe
1.0
0.000 3.366 3.366
3.366 0.000 3.366
3.366 3.366 0.000
Pa In Fe
1 1 1
direct
0.000 0.000 0.000
0.250 0.250 0.250
0.750 0.750 0.750
```

No. 3
Compound: CsHfTe3Au
Source: OQMD via LeMat-Bulk
Functional: PBE
Structure: optimized geometry

Cell and atoms, written as POSCAR:
```
CsHfTe3Au
1.0
14.212 0.000 0.000
0.000 4.385 0.000
0.000 0.000 13.809
Cs Hf Te Au
4 4 12 4
direct
0.189 0.250 0.056
0.311 0.750 0.556
0.689 0.250 0.444
0.811 0.750 0.944
0.030 0.250 0.345
0.470 0.750 0.845
0.530 0.250 0.155
0.970 0.750 0.655
0.010 0.250 0.803
0.075 0.250 0.559
0.249 0.750 0.839
0.251 0.250 0.339
0.425 0.750 0.059
0.490 0.750 0.303
0.510 0.250 0.697
0.575 0.250 0.941
0.749 0.750 0.661
0.751 0.250 0.161
0.925 0.750 0.441
0.990 0.750 0.197
0.158 0.750 0.288
0.342 0.250 0.788
0.658 0.750 0.212
0.842 0.250 0.712
```

No. 4
Compound: Cs2PrGdO4
Source: OQMD via LeMat-Bulk
Functional: PBE
Structure: optimized geometry

Cell and atoms, written as POSCAR:
```
Cs2PrGdO4
1.0
3.629 0.000 0.000
-1.815 3.143 0.000
0.000 0.000 13.654
Cs Pr Gd O
2 1 1 4
direct
0.333 0.667 0.248
0.667 0.333 0.752
0.000 0.000 0.500
0.000 0.000 0.000
0.333 0.667 0.590
0.333 0.667 0.918
0.667 0.333 0.082
0.667 0.333 0.410
```

No. 5
Compound: Cu5Ag4
Source: OQMD via LeMat-Bulk
Functional: PBE
Structure: optimized geometry

Cell and atoms, written as POSCAR:
```
Cu5Ag4
1.0
6.873 -1.413 0.000
6.873 1.413 0.000
-3.664 0.000 6.792
Cu Ag
5 4
direct
0.000 0.000 0.000
0.096 0.096 0.633
0.445 0.445 0.668
0.555 0.555 0.332
0.904 0.904 0.367
0.223 0.223 0.323
0.347 0.347 0.039
0.653 0.653 0.961
0.777 0.777 0.677
```

The calculation puts the formation energy at 94 meV/atom. The energy relative to the lowest polymorph listed for this composition is 54 meV per atom.

No. 6
Compound: Nd2Te2O5
Source: OQMD via LeMat-Bulk
Functional: PBE
Structure: optimized geometry

Cell and atoms, written as POSCAR:
```
Nd2Te2O5
1.0
3.953 0.000 0.000
0.000 3.953 0.000
0.000 0.000 9.611
Nd Te O
2 2 5
direct
0.000 0.000 0.241
0.000 0.000 0.759
0.500 0.500 0.000
0.500 0.500 0.500
0.000 0.000 0.000
0.000 0.500 0.365
0.000 0.500 0.635
0.500 0.000 0.365
0.500 0.000 0.635
```

The energy relative to the lowest polymorph listed for this composition is 0 meV per atom.

Number 1: E_tot -3.883 eV per atom, calculated density 8.14 Mg/m³. Number 2: E_tot -5.814 eV per atom, calculated density 8.75 Mg/m³. Number 3: E_tot -4.582 eV per atom, calculated density 6.88 Mg/m³. Number 4: E_tot -6.400 eV per atom, calculated density 6.69 Mg/m³. Number 5: E_tot -3.226 eV per atom, calculated density 9.43 Mg/m³. Number 6: E_tot -6.387 eV per atom, calculated density 6.90 Mg/m³.